# YErCo2 (PBE, relaxed)
data_YErCo2
_space_group_name_H-M_alt 'P 4/m m m'
_space_group_IT_number 123
_space_group_name_Hall '-P 4 2'
_cell_length_a 4.704
_cell_length_b 4.704
_cell_length_c 3.341
_cell_angle_alpha 90.00
_cell_angle_beta 90.00
_cell_angle_gamma 90.00
loop_
_atom_site_label
_atom_site_fract_x
_atom_site_fract_y
_atom_site_fract_z
Y1 0.000 0.000 0.000
Er1 0.500 0.500 0.000
Co1 0.000 0.500 0.500
# Final energy in eV/atom: -6.4641
# Energy of formation in kJ per mole of atoms: -14.9
# Mass density in g/cm³: 8.402

***

# PaN (PBE, relaxed)
data_PaN
_space_group_name_H-M_alt 'F m -3 m'
_space_group_IT_number 225
_space_group_name_Hall '-F 4 2 3'
_cell_length_a 4.958
_cell_length_b 4.958
_cell_length_c 4.958
_cell_angle_alpha 90.00
_cell_angle_beta 90.00
_cell_angle_gamma 90.00
loop_
_atom_site_label
_atom_site_fract_x
_atom_site_fract_y
_atom_site_fract_z
Pa1 0.000 0.000 0.000
N1 0.000 0.000 0.500
# Final energy in eV/atom: -10.5442
# Mass density in g/cm³: 13.355
# Energy relative to the elements, uncorrected in meV per atom: -1634

***

# Pm5SiSe5 (PBE, relaxed)
data_Pm5SiSe5
_space_group_name_H-M_alt 'C 1 2/m 1'
_space_group_IT_number 12
_cell_length_a 13.354
_cell_length_b 5.927
_cell_length_c 8.403
_cell_angle_alpha 90.00
_cell_angle_beta 108.32
_cell_angle_gamma 90.00
loop_
_space_group_symop_operation_xyz
'x,y,z'
'-x,-y,-z'
'-x,y,-z'
'x,-y,z'
'x+1/2,y+1/2,z'
'-x+1/2,-y+1/2,-z'
'-x+1/2,y+1/2,-z'
'x+1/2,-y+1/2,z'
loop_
_atom_site_label
_atom_site_fract_x
_atom_site_fract_y
_atom_site_fract_z
Pm1 0.000 0.000 0.000
Pm2 0.159 0.500 0.829
Pm3 0.162 0.500 0.330
Si1 0.000 0.500 0.000
Se1 0.000 0.500 0.500
Se2 0.170 0.000 0.334
Se3 0.170 0.000 0.837
# Final energy in eV/atom: -5.9432
# Mass density in g/cm³: 6.038
# Energy relative to the elements, uncorrected in meV per atom: -1707

***

# CaCuRu2 (PBE, relaxed)
data_CaCuRu2
_space_group_name_H-M_alt 'P m m m'
_space_group_IT_number 47
_cell_length_a 2.977
_cell_length_b 4.589
_cell_length_c 4.691
_cell_angle_alpha 90.00
_cell_angle_beta 90.00
_cell_angle_gamma 90.00
loop_
_space_group_symop_operation_xyz
'x,y,z'
'-x,-y,-z'
'-x,-y,z'
'x,y,-z'
'x,-y,-z'
'-x,y,z'
'-x,y,-z'
'x,-y,z'
loop_
_atom_site_label
_atom_site_fract_x
_atom_site_fract_y
_atom_site_fract_z
Ca1 0.000 0.000 0.000
Cu1 0.500 0.500 0.000
Ru1 0.000 0.500 0.500
Ru2 0.500 0.000 0.500
# Final energy in eV/atom: -5.7486
# Energy of formation in kJ per mole of atoms: 39.9
# Mass density in g/cm³: 7.923

***

# TeMoPt2 (PBE, relaxed)
data_TeMoPt2
_space_group_name_H-M_alt 'I -4 m 2'
_space_group_IT_number 119
_space_group_name_Hall 'I -4 -2'
_cell_length_a 4.599
_cell_length_b 4.599
_cell_length_c 6.554
_cell_angle_alpha 90.00
_cell_angle_beta 90.00
_cell_angle_gamma 90.00
loop_
_atom_site_label
_atom_site_fract_x
_atom_site_fract_y
_atom_site_fract_z
Te1 0.000 0.000 0.000
Mo1 0.000 0.500 0.750
Pt1 0.000 0.000 0.500
Pt2 0.000 0.500 0.250
# Final energy in eV/atom: -6.3740
# Mass density in g/cm³: 14.703
# Energy relative to the elements, uncorrected in meV per atom: 140

***

# TlZn2FeAs (PBE, relaxed)
data_TlZn2FeAs
_space_group_name_H-M_alt 'P 4/m m m'
_space_group_IT_number 123
_space_group_name_Hall '-P 4 2'
_cell_length_a 4.651
_cell_length_b 4.651
_cell_length_c 6.339
_cell_angle_alpha 90.00
_cell_angle_beta 90.00
_cell_angle_gamma 90.00
loop_
_atom_site_label
_atom_site_fract_x
_atom_site_fract_y
_atom_site_fract_z
Tl1 0.000 0.000 0.000
Zn1 0.000 0.500 0.500
Fe1 0.500 0.500 0.000
As1 0.000 0.000 0.500
# Final energy in eV/atom: -2.6973
# Energy of formation in kJ per mole of atoms: 87.6
# Mass density in g/cm³: 5.643

***

# Ac3PdPb (PBE, relaxed)
data_Ac3PdPb
_space_group_name_H-M_alt 'P n m a'
_space_group_IT_number 62
_cell_length_a 8.866
_cell_length_b 5.033
_cell_length_c 16.118
_cell_angle_alpha 90.00
_cell_angle_beta 90.00
_cell_angle_gamma 90.00
loop_
_space_group_symop_operation_xyz
'x,y,z'
'-x,-y,-z'
'-x+1/2,-y,z+1/2'
'x+1/2,y,-z+1/2'
'x+1/2,-y+1/2,-z+1/2'
'-x+1/2,y+1/2,z+1/2'
'-x,y+1/2,-z'
'x,-y+1/2,z'
loop_
_atom_site_label
_atom_site_fract_x
_atom_site_fract_y
_atom_site_fract_z
Ac1 0.022 0.250 0.107
Ac2 0.147 0.250 0.516
Ac3 0.183 0.750 0.282
Pd1 0.174 0.250 0.943
Pb1 0.090 0.750 0.677
# Final energy in eV/atom: -4.7947
# Energy of formation in kJ per mole of atoms: -53.0
# Mass density in g/cm³: 9.185

***

# HPd4Au2 (PBE, relaxed)
data_HPd4Au2
_space_group_name_H-M_alt 'I 4/m m m'
_space_group_IT_number 139
_space_group_name_Hall '-I 4 2'
_cell_length_a 3.922
_cell_length_b 3.922
_cell_length_c 13.832
_cell_angle_alpha 90.00
_cell_angle_beta 90.00
_cell_angle_gamma 90.00
loop_
_atom_site_label
_atom_site_fract_x
_atom_site_fract_y
_atom_site_fract_z
H1 0.000 0.000 0.000
Pd1 0.000 0.000 0.154
Pd2 0.000 0.500 0.000
Au1 0.000 0.000 0.347
# Final energy in eV/atom: -4.3265
# Mass density in g/cm³: 12.810

***

# Mg2ScW (PBE, relaxed)
data_Mg2ScW
_space_group_name_H-M_alt 'P 1 2/m 1'
_space_group_IT_number 10
_cell_length_a 2.819
_cell_length_b 5.052
_cell_length_c 5.490
_cell_angle_alpha 90.00
_cell_angle_beta 97.38
_cell_angle_gamma 90.00
loop_
_space_group_symop_operation_xyz
'x,y,z'
'-x,-y,-z'
'-x,y,-z'
'x,-y,z'
loop_
_atom_site_label
_atom_site_fract_x
_atom_site_fract_y
_atom_site_fract_z
Mg1 0.240 0.000 0.266
Sc1 0.500 0.500 0.000
W1 0.000 0.500 0.500
# Final energy in eV/atom: -5.2896
# Energy of formation in kJ per mole of atoms: 31.7
# Mass density in g/cm³: 5.941

***

# KSn2Pt (PBE, relaxed)
data_KSn2Pt
_space_group_name_H-M_alt 'R -3 m'
_space_group_IT_number 166
_space_group_name_Hall '-R 3 2"'
_cell_length_a 4.4192
_cell_length_b 4.4192
_cell_length_c 21.3312
_cell_angle_alpha 90.00
_cell_angle_beta 90.00
_cell_angle_gamma 120.00
loop_
_atom_site_label
_atom_site_fract_x
_atom_site_fract_y
_atom_site_fract_z
K1 0.0000 0.0000 0.0000
Sn1 0.0000 0.0000 0.2148
Pt1 0.0000 0.0000 0.5000
# Final energy in eV/atom: -4.2203
# Energy of formation in kJ per mole of atoms: -41.9
# Mass density in g/cm³: 6.512

***

# CsGeAsBr2 (PBE, relaxed)
data_CsGeAsBr2
_space_group_name_H-M_alt 'P 4/m m m'
_space_group_IT_number 123
_space_group_name_Hall '-P 4 2'
_cell_length_a 6.573
_cell_length_b 6.573
_cell_length_c 6.115
_cell_angle_alpha 90.00
_cell_angle_beta 90.00
_cell_angle_gamma 90.00
loop_
_atom_site_label
_atom_site_fract_x
_atom_site_fract_y
_atom_site_fract_z
Cs1 0.000 0.000 0.000
Ge1 0.500 0.500 0.500
As1 0.000 0.000 0.500
Br1 0.000 0.500 0.000
# Final energy in eV/atom: -1.9931
# Mass density in g/cm³: 2.767
# Energy relative to the elements, uncorrected in meV per atom: 700

***

# TcNi2Se (PBE, relaxed)
data_TcNi2Se
_space_group_name_H-M_alt 'P m m m'
_space_group_IT_number 47
_cell_length_a 3.109
_cell_length_b 4.107
_cell_length_c 4.131
_cell_angle_alpha 90.00
_cell_angle_beta 90.00
_cell_angle_gamma 90.00
loop_
_space_group_symop_operation_xyz
'x,y,z'
'-x,-y,-z'
'-x,-y,z'
'x,y,-z'
'x,-y,-z'
'-x,y,z'
'-x,y,-z'
'x,-y,z'
loop_
_atom_site_label
_atom_site_fract_x
_atom_site_fract_y
_atom_site_fract_z
Tc1 0.000 0.000 0.000
Ni1 0.000 0.500 0.500
Ni2 0.500 0.000 0.500
Se1 0.500 0.500 0.000
# Final energy in eV/atom: -6.0783
# Mass density in g/cm³: 9.267
# Energy relative to the elements, uncorrected in meV per atom: 275

***

# Nd4Zn2H (PBE, relaxed)
data_Nd4Zn2H
_space_group_name_H-M_alt 'I 4/m m m'
_space_group_IT_number 139
_space_group_name_Hall '-I 4 2'
_cell_length_a 4.843
_cell_length_b 4.843
_cell_length_c 15.225
_cell_angle_alpha 90.00
_cell_angle_beta 90.00
_cell_angle_gamma 90.00
loop_
_atom_site_label
_atom_site_fract_x
_atom_site_fract_y
_atom_site_fract_z
Nd1 0.000 0.000 0.186
Nd2 0.000 0.500 0.000
Zn1 0.000 0.000 0.376
H1 0.000 0.000 0.000
# Final energy in eV/atom: -3.7676
# Mass density in g/cm³: 6.591

***

# Ac2Rh3Au (PBE, relaxed)
data_Ac2Rh3Au
_space_group_name_H-M_alt 'F m m m'
_space_group_IT_number 69
_space_group_name_Hall '-F 2 2'
_cell_length_a 8.479
_cell_length_b 8.934
_cell_length_c 15.430
_cell_angle_alpha 90.00
_cell_angle_beta 90.00
_cell_angle_gamma 90.00
loop_
_atom_site_label
_atom_site_fract_x
_atom_site_fract_y
_atom_site_fract_z
Ac1 0.248 0.000 0.000
Ac2 0.250 0.250 0.250
Rh1 0.000 0.000 0.164
Rh2 0.000 0.245 0.082
Au1 0.000 0.000 0.334
# Final energy in eV/atom: -6.1729
# Energy of formation in kJ per mole of atoms: -56.1
# Mass density in g/cm³: 10.907

***

# ScCdIr (PBE, relaxed)
data_ScCdIr
_space_group_name_H-M_alt 'F -4 3 m'
_space_group_IT_number 216
_space_group_name_Hall 'F -4 2 3'
_cell_length_a 6.361
_cell_length_b 6.361
_cell_length_c 6.361
_cell_angle_alpha 90.00
_cell_angle_beta 90.00
_cell_angle_gamma 90.00
loop_
_atom_site_label
_atom_site_fract_x
_atom_site_fract_y
_atom_site_fract_z
Sc1 0.000 0.000 0.000
Cd1 0.250 0.250 0.250
Ir1 0.250 0.250 0.750
# Final energy in eV/atom: -5.3565
# Energy of formation in kJ per mole of atoms: 1.2
# Mass density in g/cm³: 9.020

***

# Er2TmIn (PBE, relaxed)
data_Er2TmIn
_space_group_name_H-M_alt 'R 3 m'
_space_group_IT_number 160
_space_group_name_Hall 'R 3 -2"'
_cell_length_a 3.5255
_cell_length_b 3.5255
_cell_length_c 32.5310
_cell_angle_alpha 90.00
_cell_angle_beta 90.00
_cell_angle_gamma 120.00
loop_
_atom_site_label
_atom_site_fract_x
_atom_site_fract_y
_atom_site_fract_z
Er1 0.0000 0.0000 0.0000
Er2 0.0000 0.0000 0.1738
Tm1 0.0000 0.0000 0.4202
In1 0.0000 0.0000 0.5867
# Final energy in eV/atom: -4.2334
# Energy of formation in kJ per mole of atoms: -14.4
# Mass density in g/cm³: 8.796

***

# VGa2Mo (PBE, relaxed)
data_VGa2Mo
_space_group_name_H-M_alt 'R 3 m'
_space_group_IT_number 160
_space_group_name_Hall 'R 3 -2"'
_cell_length_a 2.8264
_cell_length_b 2.8264
_cell_length_c 26.2755
_cell_angle_alpha 90.00
_cell_angle_beta 90.00
_cell_angle_gamma 120.00
loop_
_atom_site_label
_atom_site_fract_x
_atom_site_fract_y
_atom_site_fract_z
V1 0.0000 0.0000 0.0000
Ga1 0.0000 0.0000 0.2522
Ga2 0.0000 0.0000 0.4154
Mo1 0.0000 0.0000 0.8340
# Final energy in eV/atom: -6.5250
# Energy of formation in kJ per mole of atoms: -2.3
# Mass density in g/cm³: 7.847

***

# Tl2PbCl (PBE, relaxed)
data_Tl2PbCl
_space_group_name_H-M_alt 'C 1 m 1'
_space_group_IT_number 8
_cell_length_a 12.189
_cell_length_b 3.601
_cell_length_c 5.590
_cell_angle_alpha 90.00
_cell_angle_beta 90.46
_cell_angle_gamma 90.00
loop_
_space_group_symop_operation_xyz
'x,y,z'
'x,-y,z'
'x+1/2,y+1/2,z'
'x+1/2,-y+1/2,z'
loop_
_atom_site_label
_atom_site_fract_x
_atom_site_fract_y
_atom_site_fract_z
Tl1 0.000 0.000 0.000
Tl2 0.230 0.500 0.512
Pb1 0.267 0.000 0.014
Cl1 0.483 0.000 0.508
# Final energy in eV/atom: -2.9263
# Mass density in g/cm³: 8.819
# Energy relative to the elements, uncorrected in meV per atom: -354

***

# Ba6Sb2TeBr3 (PBE, relaxed)
data_Ba6Sb2TeBr3
_space_group_name_H-M_alt 'C 1 2/m 1'
_space_group_IT_number 12
_cell_length_a 21.329
_cell_length_b 4.998
_cell_length_c 9.750
_cell_angle_alpha 90.00
_cell_angle_beta 101.25
_cell_angle_gamma 90.00
loop_
_space_group_symop_operation_xyz
'x,y,z'
'-x,-y,-z'
'-x,y,-z'
'x,-y,z'
'x+1/2,y+1/2,z'
'-x+1/2,-y+1/2,-z'
'-x+1/2,y+1/2,-z'
'x+1/2,-y+1/2,z'
loop_
_atom_site_label
_atom_site_fract_x
_atom_site_fract_y
_atom_site_fract_z
Ba1 0.004 0.000 0.248
Ba2 0.166 0.500 0.093
Ba3 0.171 0.500 0.573
Sb1 0.166 0.000 0.330
Te1 0.000 0.500 0.000
Br1 0.000 0.500 0.500
Br2 0.165 0.000 0.833
# Final energy in eV/atom: -3.9127
# Mass density in g/cm³: 4.675
# Energy relative to the elements, uncorrected in meV per atom: -1584

***

# AlCr2Os (PBE, relaxed)
data_AlCr2Os
_space_group_name_H-M_alt 'P 1 m 1'
_space_group_IT_number 6
_cell_length_a 2.668
_cell_length_b 4.026
_cell_length_c 4.946
_cell_angle_alpha 90.00
_cell_angle_beta 102.69
_cell_angle_gamma 90.00
loop_
_space_group_symop_operation_xyz
'x,y,z'
'x,-y,z'
loop_
_atom_site_label
_atom_site_fract_x
_atom_site_fract_y
_atom_site_fract_z
Al1 0.000 0.000 0.000
Cr1 0.563 0.000 0.485
Cr2 0.698 0.500 0.241
Os1 0.286 0.500 0.737
# Final energy in eV/atom: -8.6007
# Energy of formation in kJ per mole of atoms: -4.4
# Mass density in g/cm³: 10.290

***

# Tb2PrTm5Th (PBE, relaxed)
data_Tb2PrTm5Th
_space_group_name_H-M_alt 'I 4/m c m'
_space_group_IT_number 140
_space_group_name_Hall '-I 4 2c'
_cell_length_a 8.702
_cell_length_b 8.702
_cell_length_c 15.049
_cell_angle_alpha 90.00
_cell_angle_beta 90.00
_cell_angle_gamma 90.00
loop_
_atom_site_label
_atom_site_fract_x
_atom_site_fract_y
_atom_site_fract_z
Tb1 0.115 0.385 0.000
Pr1 0.000 0.500 0.250
Tm1 0.000 0.000 0.000
Tm2 0.209 0.291 0.364
Th1 0.000 0.000 0.250
# Final energy in eV/atom: -4.5631
# Energy of formation in kJ per mole of atoms: 29.5
# Mass density in g/cm³: 8.949

***

# Cs3RbH4 (PBE, relaxed)
data_Cs3RbH4
_space_group_name_H-M_alt 'I 4/m m m'
_space_group_IT_number 139
_space_group_name_Hall '-I 4 2'
_cell_length_a 6.295
_cell_length_b 6.295
_cell_length_c 12.560
_cell_angle_alpha 90.00
_cell_angle_beta 90.00
_cell_angle_gamma 90.00
loop_
_atom_site_label
_atom_site_fract_x
_atom_site_fract_y
_atom_site_fract_z
Cs1 0.000 0.000 0.000
Cs2 0.000 0.500 0.250
Rb1 0.000 0.000 0.500
H1 0.000 0.000 0.260
H2 0.000 0.500 0.000
# Final energy in eV/atom: -2.2849
# Mass density in g/cm³: 3.258

***

# YCd4 (PBE, relaxed)
data_YCd4
_space_group_name_H-M_alt 'I 4/m'
_space_group_IT_number 87
_space_group_name_Hall '-I 4'
_cell_length_a 6.965
_cell_length_b 6.965
_cell_length_c 4.869
_cell_angle_alpha 90.00
_cell_angle_beta 90.00
_cell_angle_gamma 90.00
loop_
_atom_site_label
_atom_site_fract_x
_atom_site_fract_y
_atom_site_fract_z
Y1 0.000 0.000 0.000
Cd1 0.055 0.699 0.500
# Final energy in eV/atom: -2.2022
# Energy of formation in kJ per mole of atoms: -17.1
# Mass density in g/cm³: 7.572

***

# CdReSe2 (PBE, relaxed)
data_CdReSe2
_space_group_name_H-M_alt 'P m m 2'
_space_group_IT_number 25
_cell_length_a 3.048
_cell_length_b 3.910
_cell_length_c 6.485
_cell_angle_alpha 90.00
_cell_angle_beta 90.00
_cell_angle_gamma 90.00
loop_
_space_group_symop_operation_xyz
'x,y,z'
'-x,-y,z'
'-x,y,z'
'x,-y,z'
loop_
_atom_site_label
_atom_site_fract_x
_atom_site_fract_y
_atom_site_fract_z
Cd1 0.000 0.000 0.000
Re1 0.500 0.500 0.315
Se1 0.000 0.000 0.444
Se2 0.500 0.500 0.715
# Final energy in eV/atom: -4.6440
# Mass density in g/cm³: 9.808
# Energy relative to the elements, uncorrected in meV per atom: 439

***

# MgZn2Mo (PBE, relaxed)
data_MgZn2Mo
_space_group_name_H-M_alt 'C 1 2/m 1'
_space_group_IT_number 12
_cell_length_a 9.322
_cell_length_b 2.766
_cell_length_c 5.182
_cell_angle_alpha 90.00
_cell_angle_beta 99.94
_cell_angle_gamma 90.00
loop_
_space_group_symop_operation_xyz
'x,y,z'
'-x,-y,-z'
'-x,y,-z'
'x,-y,z'
'x+1/2,y+1/2,z'
'-x+1/2,-y+1/2,-z'
'-x+1/2,y+1/2,-z'
'x+1/2,-y+1/2,z'
loop_
_atom_site_label
_atom_site_fract_x
_atom_site_fract_y
_atom_site_fract_z
Mg1 0.000 0.000 0.000
Zn1 0.248 0.000 0.719
Mo1 0.000 0.500 0.500
# Final energy in eV/atom: -3.5605
# Energy of formation in kJ per mole of atoms: 17.6
# Mass density in g/cm³: 6.335

***

# Rb2SrCl (PBE, relaxed)
data_Rb2SrCl
_space_group_name_H-M_alt 'I -4 2 d'
_space_group_IT_number 122
_space_group_name_Hall 'I -4 2bw'
_cell_length_a 10.179
_cell_length_b 10.179
_cell_length_c 10.294
_cell_angle_alpha 90.00
_cell_angle_beta 90.00
_cell_angle_gamma 90.00
loop_
_atom_site_label
_atom_site_fract_x
_atom_site_fract_y
_atom_site_fract_z
Rb1 0.134 0.250 0.125
Sr1 0.000 0.000 0.500
Cl1 0.000 0.000 0.000
# Final energy in eV/atom: -2.0212
# Mass density in g/cm³: 1.831
# Energy relative to the elements, uncorrected in meV per atom: -655